1.
Entry from Alexandria: an optimized crystal structure of YZrRuAu (PBE-GGA).

Output
The value obtained for the volume is 81.04 Å³/cell. The formation energy comes out at -0.47 eV per atom. Its crystal system is cubic.

a b c (Å): 4.8575 4.8575 4.8575
angles (deg): 60.00 60.00 60.00
Fractional positions:
Au (0.7500, 0.7500, 0.7500)
Ru (0.2500, 0.2500, 0.2500)
Y (0.5000, 0.5000, 0.5000)
Zr (0.0000, 0.0000, 0.0000)



2.
Entry from Alexandria: an optimized crystal structure of ZnRuAu (PBE-GGA).

Output
The value obtained for the volume is 92.67 Å³/cell. The formation energy comes out at -0.09 eV per atom. Its crystal system is tetragonal.

a b c (Å): 2.8324 2.8324 11.5512
angles (deg): 90.00 90.00 90.00
Fractional positions:
Ru (0.0000, 0.5000, 0.5707)
Ru (0.5000, 0.0000, 0.4293)
Zn (0.5000, 0.0000, 0.7289)
Zn (0.0000, 0.5000, 0.2711)
Au (0.0000, 0.5000, 0.9001)
Au (0.5000, 0.0000, 0.0999)



3.
Entry from Alexandria: an optimized crystal structure of ZnRuAu (PBE-GGA).

Output
The value obtained for the volume is 46.40 Å³/cell. The formation energy comes out at 0.14 eV per atom. Its crystal system is tetragonal.

a b c (Å): 6.2098 6.2098 6.2098
angles (deg): 153.86 153.86 37.30
Site moments in Bohr magnetons follow the coordinates.
Fractional positions:
Au (0.0022, 0.0022, 0.0000)  0.02
Zn (0.6726, 0.6726, 0.0000)  -0.01
Ru (0.3252, 0.3252, 0.0000)  1.20



4.
Entry from Alexandria: an optimized crystal structure of Zn2RuAu (PBE-GGA).

Output
The value obtained for the volume is 132.69 Å³/cell. The formation energy comes out at 0.30 eV per atom. Its crystal system is tetragonal.

a b c (Å): 6.9358 6.9358 5.6268
angles (deg): 51.95 51.95 90.00
Site moments in Bohr magnetons follow the coordinates.
Fractional positions:
Au (0.7500, 0.2500, 0.5000)  0.03
Au (0.0000, 0.0000, 0.0000)  0.03
Zn (0.6207, 0.1250, 0.2500)  -0.01
Zn (0.8750, 0.8707, 0.7500)  -0.01
Zn (0.1293, 0.6250, 0.2500)  -0.01
Zn (0.3750, 0.3793, 0.7500)  0.00
Ru (0.5000, 0.5000, 0.0000)  0.80
Ru (0.2500, 0.7500, 0.5000)  0.82



no.,calculated total energy (eV per atom)
1,-7.3573
2,-4.7019
3,-4.4717
4,-3.4717